Arrangement one

Below is SmMgTlPb after structural relaxation, with properties calculated at the PBE level.

Cell lengths 4.506, 4.971, 4.802 Å; angles 90.00, 90.00, 90.00 degrees
Sites, in units of the cell vectors:
Mg (0.500, 0.000, 0.500)
Pb (0.000, 0.500, 0.500)
Tl (0.000, 0.000, 0.000)
Sm (0.500, 0.500, 0.000)

Summary:
crystal system	orthorhombic
N(E_F)	1.7	states/eV/cell
space group	Pmmm
total magnetic moment	0.000	μB per formula unit



Arrangement two

Below is SmMgTlPb after structural relaxation, with properties calculated at the PBE level.

Cell lengths 5.384, 5.384, 5.384 Å; angles 60.00, 60.00, 60.00 degrees
Sites, in units of the cell vectors:
Pb (0.750, 0.750, 0.750)
Mg (0.000, 0.000, 0.000)
Tl (0.250, 0.250, 0.250)
Sm (0.500, 0.500, 0.500)

Summary:
crystal system	cubic
N(E_F)	3.0	states/eV/cell
space group	F-43m
total magnetic moment	0.000	μB per formula unit



Most stable = arrangement one



Arrangement one

Below is Mg2Sn2Pb after structural relaxation, with properties calculated at the PBE level.

Cell lengths 8.918, 8.918, 3.288 Å; angles 90.00, 90.00, 90.00 degrees
Sites, in units of the cell vectors:
Sn (0.841, 0.659, 0.000)
Mg (0.636, 0.864, 0.500)
Mg (0.136, 0.636, 0.500)
Sn (0.341, 0.841, 0.000)
Pb (0.500, 0.500, 0.000)
Sn (0.159, 0.341, 0.000)
Mg (0.364, 0.136, 0.500)
Mg (0.864, 0.364, 0.500)
Pb (0.000, 0.000, 0.000)
Sn (0.659, 0.159, 0.000)

Summary:
crystal system	tetragonal
N(E_F)	4.5	states/eV/cell
space group	P4/mbm
total magnetic moment	0.000	μB per formula unit



Arrangement two

Below is Mg2Sn2Pb after structural relaxation, with properties calculated at the PBE level.

Cell lengths 3.435, 3.366, 11.903 Å; angles 90.00, 98.30, 90.00 degrees
Sites, in units of the cell vectors:
Sn (0.694, 0.000, 0.387)
Mg (0.890, 0.500, 0.781)
Pb (0.000, 0.000, 0.000)
Sn (0.306, 0.000, 0.613)
Mg (0.110, 0.500, 0.219)

Summary:
crystal system	orthorhombic
N(E_F)	2.4	states/eV/cell
space group	Cmmm
total magnetic moment	0.000	μB per formula unit



Most stable = arrangement one



Arrangement one

Below is Mg2Sn2Pb after structural relaxation, with properties calculated at the PBE level.

Cell lengths 4.764, 4.764, 6.992 Å; angles 70.08, 70.08, 90.00 degrees
Sites, in units of the cell vectors:
Pb (0.000, 0.000, 0.000)
Sn (0.614, 0.614, 0.771)
Mg (0.250, 0.750, 0.500)
Mg (0.750, 0.250, 0.500)
Sn (0.386, 0.386, 0.229)

Summary:
crystal system	tetragonal
N(E_F)	1.5	states/eV/cell
space group	I4/mmm
total magnetic moment	0.000	μB per formula unit



Arrangement two

Below is Mg2Sn2Pb after structural relaxation, with properties calculated at the PBE level.

Cell lengths 4.195, 7.940, 7.940 Å; angles 90.00, 90.00, 90.00 degrees
Sites, in units of the cell vectors:
Pb (0.000, 0.500, 0.500)
Sn (0.500, 0.153, 0.653)
Mg (0.000, 0.639, 0.139)
Mg (0.000, 0.861, 0.639)
Sn (0.500, 0.347, 0.153)
Mg (0.000, 0.139, 0.361)
Mg (0.000, 0.361, 0.861)
Sn (0.500, 0.847, 0.347)
Pb (0.000, 0.000, 0.000)
Sn (0.500, 0.653, 0.847)

Summary:
crystal system	tetragonal
N(E_F)	4.6	states/eV/cell
space group	P4/mbm
total magnetic moment	0.000	μB per formula unit



Most stable = arrangement one



Arrangement one

Below is Mg8SnPb2 after structural relaxation, with properties calculated at the PBE level.

Cell lengths 4.661, 8.448, 8.457 Å; angles 119.96, 106.00, 90.00 degrees
Sites, in units of the cell vectors:
Mg (0.000, 0.272, 0.000)
Mg (0.662, 0.902, 0.324)
Sn (0.500, 0.000, 0.000)
Mg (0.842, 0.842, 0.684)
Mg (0.338, 0.578, 0.676)
Mg (0.158, 0.158, 0.316)
Pb (0.174, 0.674, 0.347)
Mg (0.338, 0.098, 0.676)
Pb (0.826, 0.326, 0.653)
Mg (0.662, 0.422, 0.324)
Mg (0.000, 0.728, 0.000)

Summary:
crystal system	orthorhombic
N(E_F)	6.1	states/eV/cell
space group	Immm
total magnetic moment	0.000	μB per formula unit



Arrangement two

Below is Mg8SnPb2 after structural relaxation, with properties calculated at the PBE level.

Cell lengths 4.610, 7.272, 8.514 Å; angles 104.63, 105.71, 90.00 degrees
Sites, in units of the cell vectors:
Mg (0.863, 0.817, 0.726)
Mg (0.589, 0.451, 0.177)
Pb (0.779, 0.346, 0.558)
Mg (0.960, 0.273, 0.920)
Sn (0.500, 0.000, 0.000)
Mg (0.677, 0.914, 0.354)
Mg (0.411, 0.549, 0.823)
Mg (0.040, 0.727, 0.080)
Mg (0.323, 0.086, 0.646)
Mg (0.137, 0.183, 0.274)
Pb (0.221, 0.654, 0.442)

Summary:
crystal system	monoclinic
N(E_F)	4.5	states/eV/cell
space group	C2/m
total magnetic moment	0.000	μB per formula unit



Most stable = arrangement two



Arrangement one

Below is Mg4SnPb after structural relaxation, with properties calculated at the PBE level.

Cell lengths 3.466, 5.559, 8.332 Å; angles 97.17, 77.99, 71.83 degrees
Sites, in units of the cell vectors:
Pb (0.500, 0.500, 0.500)
Sn (0.000, 0.000, 0.000)
Mg (0.175, 0.490, 0.161)
Mg (0.341, 0.993, 0.325)
Mg (0.825, 0.510, 0.839)
Mg (0.659, 0.007, 0.675)

Summary:
crystal system	monoclinic
N(E_F)	2.3	states/eV/cell
space group	C2/m
total magnetic moment	0.000	μB per formula unit



Arrangement two

Below is Mg4SnPb after structural relaxation, with properties calculated at the PBE level.

Cell lengths 4.850, 4.850, 8.394 Å; angles 73.13, 73.14, 60.03 degrees
Sites, in units of the cell vectors:
Mg (0.126, 0.126, 0.623)
Mg (0.624, 0.624, 0.127)
Pb (0.000, 0.000, 0.000)
Sn (0.500, 0.500, 0.500)
Mg (0.874, 0.874, 0.377)
Mg (0.376, 0.376, 0.873)

Summary:
crystal system	monoclinic
N(E_F)	0.9	states/eV/cell
space group	C2/m
total magnetic moment	0.000	μB per formula unit



Arrangement three

Below is Mg4SnPb after structural relaxation, with properties calculated at the PBE level.

Cell lengths 5.957, 5.957, 5.957 Å; angles 60.00, 60.00, 60.00 degrees
Sites, in units of the cell vectors:
Mg (0.625, 0.625, 0.124)
Sn (0.000, 0.000, 0.000)
Mg (0.625, 0.124, 0.625)
Mg (0.625, 0.625, 0.625)
Pb (0.250, 0.250, 0.250)
Mg (0.124, 0.625, 0.625)

Summary:
crystal system	cubic
N(E_F)	6.0	states/eV/cell
space group	F-43m
total magnetic moment	0.000	μB per formula unit



Most stable = arrangement two



Arrangement one

Below is Mg3Sn2Pb after structural relaxation, with properties calculated at the PBE level.

Cell lengths 3.436, 5.364, 8.553 Å; angles 108.27, 90.00, 90.00 degrees
Sites, in units of the cell vectors:
Mg (0.500, 0.824, 0.649)
Sn (0.000, 0.339, 0.678)
Mg (0.500, 0.176, 0.351)
Mg (0.500, 0.500, 0.000)
Pb (0.000, 0.000, 0.000)
Sn (0.000, 0.661, 0.322)

Summary:
crystal system	orthorhombic
N(E_F)	2.2	states/eV/cell
space group	Cmmm
total magnetic moment	0.000	μB per formula unit



Arrangement two

Below is Mg3Sn2Pb after structural relaxation, with properties calculated at the PBE level.

Cell lengths 3.423, 3.423, 12.655 Å; angles 90.00, 90.00, 90.00 degrees
Sites, in units of the cell vectors:
Sn (0.500, 0.500, 0.164)
Mg (0.000, 0.000, 0.326)
Sn (0.500, 0.500, 0.836)
Mg (0.000, 0.000, 0.000)
Pb (0.500, 0.500, 0.500)
Mg (0.000, 0.000, 0.674)

Summary:
crystal system	tetragonal
N(E_F)	3.1	states/eV/cell
space group	P4/mmm
total magnetic moment	0.000	μB per formula unit



Most stable = arrangement two